Computed, not measured: a PBEsol-optimized structure of Fe4SiP at the meta-GGA SCAN level of DFT.

The structure in POSCAR format:
```
Fe4SiP
1.0
4.606 0.000 0.000
2.303 3.989 0.000
2.303 1.330 3.761
Fe P Si
4 1 1
Cartesian
3.454 1.994 1.410
4.606 2.659 3.291
5.757 1.994 1.410
4.606 3.989 1.410
6.909 3.989 2.821
0.000 0.000 0.000
```

The calculation puts the final energy at -15.211 eV/atom. As for the crystal system: cubic. As for the space group: No. 216.

***

Computed, not measured: a PBEsol-optimized structure of InSeN2Cl at the meta-GGA SCAN level of DFT.

The structure in POSCAR format:
```
InSeN2Cl
1.0
-0.144 2.300 -3.489
-4.082 0.670 0.611
1.238 4.739 3.073
N Cl Se In
2 1 1 1
Cartesian
-2.041 0.335 0.305
-0.072 1.150 -1.745
-1.494 3.855 0.097
0.619 2.370 1.536
0.000 0.000 0.000
```

The calculation puts the final energy at -14.679 eV/atom. As for the crystal system: tetragonal. As for the space group: No. 123.

***

Computed, not measured: a PBEsol-optimized structure of K4BaNb5O15 at the meta-GGA SCAN level of DFT.

The structure in POSCAR format:
```
K4BaNb5O15
1.0
5.706 0.000 0.000
0.000 6.995 -0.001
-2.853 -2.331 8.240
K Ba Nb O
4 1 5 15
Cartesian
2.853 2.344 1.646
0.000 4.656 3.307
2.853 0.007 4.932
0.000 2.319 6.592
0.000 0.000 0.000
0.000 1.182 3.317
2.853 3.482 4.921
0.000 -1.159 6.561
0.000 3.497 -0.001
2.853 5.823 1.678
1.416 0.000 2.454
-1.427 2.332 4.119
1.437 4.663 5.784
-1.438 -0.017 7.420
4.291 4.681 0.818
0.000 0.001 4.942
2.853 2.350 6.604
2.853 0.000 0.000
0.000 2.314 1.635
2.853 4.663 3.297
1.427 2.332 4.119
-1.437 4.663 5.784
1.438 -0.017 7.420
1.415 4.681 0.818
4.290 0.000 2.454
```

The calculation puts the final energy at -16.042 eV/atom. As for the crystal system: monoclinic. As for the space group: No. 12.

***

What did the first record say?
Computed, not measured: a PBEsol-optimized structure of Fe4SiP at the meta-GGA SCAN level of DFT.

The structure in POSCAR format:
```
Fe4SiP
1.0
4.606 0.000 0.000
2.303 3.989 0.000
2.303 1.330 3.761
Fe P Si
4 1 1
Cartesian
3.454 1.994 1.410
4.606 2.659 3.291
5.757 1.994 1.410
4.606 3.989 1.410
6.909 3.989 2.821
0.000 0.000 0.000
```

The calculation puts the final energy at -15.211 eV/atom. As for the crystal system: cubic. As for the space group: No. 216.

***

- final energy of number 3 (K4BaNb5O15)?
  -16.042 eV/atom

***

- What is the formula in the first record?
  Fe4SiP

***

- What is the formula in the second record?
  InSeN2Cl